[1]
The following is a PBE-GGA calculation of crystalline Mo2PCl at its relaxed geometry, from Alexandria via LeMat-Bulk.

Output
offset from the most stable computed form: 0.3058 eV/atom
E_form (uncorrected): 0.22 eV/atom

a b c (Å): 3.0562 3.0562 7.5535
angles (deg): 90.00 90.00 112.13
Fractional coordinates of all 4 atoms:
Mo1 0.0000 0.0000 0.2045
Mo2 0.0000 0.0000 0.7955
P1 0.5000 0.5000 0.0000
Cl1 0.5000 0.5000 0.5000

***

[2]
The following is a PBE-GGA calculation of crystalline SmTiIr2 at its relaxed geometry, from Alexandria via LeMat-Bulk.

Output
energy of formation: -16.5 kcal/mol of atoms

a b c (Å): 3.1097 3.1097 7.4037
angles (deg): 90.00 90.00 90.00
Fractional coordinates of all 4 atoms:
Sm1 0.0000 0.0000 0.0000
Ti1 0.0000 0.0000 0.5000
Ir1 0.5000 0.5000 0.2965
Ir2 0.5000 0.5000 0.7035

***

[3]
The following is a PBE-GGA calculation of crystalline Tb3HCS at its relaxed geometry, from Alexandria via LeMat-Bulk.

Output
E: -6.066 eV/atom

a b c (Å): 7.7499 3.6684 7.9647
angles (deg): 90.00 102.61 90.00
Fractional coordinates of all 12 atoms:
Tb1 0.0557 0.2500 0.3375
Tb2 0.2700 0.2500 0.9752
Tb3 0.3759 0.7500 0.6394
Tb4 0.6241 0.2500 0.3606
Tb5 0.7300 0.7500 0.0248
Tb6 0.9443 0.7500 0.6625
H1 0.4231 0.7500 0.9240
H2 0.5769 0.2500 0.0760
C1 0.1684 0.2500 0.6606
C2 0.8316 0.7500 0.3394
S1 0.3279 0.7500 0.2797
S2 0.6721 0.2500 0.7203

***

[4]
The following is a PBE-GGA calculation of crystalline La6DyIn2 at its relaxed geometry, from Alexandria via LeMat-Bulk.

Output
offset from the most stable computed form: 0.0000 eV/atom
energy of formation: -5.0 kcal/mol of atoms

a b c (Å): 8.2494 8.2494 8.2740
angles (deg): 109.15 109.15 33.75
Fractional coordinates of all 9 atoms:
La1 0.0974 0.0974 0.1477
La2 0.2219 0.2219 0.8417
La3 0.3344 0.3344 0.5099
La4 0.6656 0.6656 0.4901
La5 0.7781 0.7781 0.1583
La6 0.9026 0.9026 0.8523
Dy1 0.0000 0.0000 0.5000
In1 0.4420 0.4420 0.1873
In2 0.5580 0.5580 0.8127

***

[5]
The following is a PBE-GGA calculation of crystalline CaTbNdEu at its relaxed geometry, from Alexandria via LeMat-Bulk.

Output
energy of formation: 3.0 kcal/mol of atoms

a b c (Å): 5.9274 5.9274 5.9274
angles (deg): 60.00 60.00 60.00
Fractional coordinates of all 4 atoms:
Ca1 0.0000 0.0000 0.0000
Tb1 0.5000 0.5000 0.5000
Nd1 0.2500 0.2500 0.2500
Eu1 0.7500 0.7500 0.7500

***

[6]
The following is a PBE-GGA calculation of crystalline TaTc2Pt at its relaxed geometry, from Alexandria via LeMat-Bulk.

Output
offset from the most stable computed form: 0.2468 eV/atom
energy of formation: -2.6 kcal/mol of atoms

a b c (Å): 9.4119 9.4119 9.4119
angles (deg): 17.09 17.09 17.09
Fractional coordinates of all 4 atoms:
Ta1 0.0000 0.0000 0.0000
Tc1 0.4974 0.4974 0.4974
Tc2 0.7557 0.7557 0.7557
Pt1 0.2497 0.2497 0.2497

***

[7]
The following is a PBE-GGA calculation of crystalline MnBrCl at its relaxed geometry, from Alexandria via LeMat-Bulk.

Output
offset from the most stable computed form: 0.0645 eV/atom
E_form (uncorrected): -0.87 eV/atom

a b c (Å): 6.1317 7.5041 10.0215
angles (deg): 80.46 89.19 88.97
Fractional coordinates of all 18 atoms:
Mn1 0.0000 0.0000 0.0000
Mn2 0.0092 0.3368 0.6770
Mn3 0.4870 0.1711 0.3429
Mn4 0.5000 0.5000 0.0000
Mn5 0.5130 0.8289 0.6571
Mn6 0.9908 0.6632 0.3230
Br1 0.2271 0.6123 0.5514
Br2 0.2312 0.9428 0.2228
Br3 0.2694 0.7754 0.8846
Br4 0.7306 0.2246 0.1154
Br5 0.7688 0.0572 0.7772
Br6 0.7729 0.3877 0.4486
Cl1 0.2173 0.2765 0.8907
Cl2 0.2810 0.4452 0.2201
Cl3 0.2826 0.1090 0.5593
Cl4 0.7174 0.8910 0.4407
Cl5 0.7190 0.5548 0.7799
Cl6 0.7827 0.7235 0.1093

***

[8]
The following is a PBE-GGA calculation of crystalline Cs3Hg at its relaxed geometry, from Alexandria via LeMat-Bulk.

Output
energy of formation: -0.7 kcal/mol of atoms

a b c (Å): 6.7261 6.7261 6.7261
angles (deg): 90.00 90.00 90.00
Fractional coordinates of all 4 atoms:
Cs1 0.0000 0.0000 0.5000
Cs2 0.0000 0.5000 0.0000
Cs3 0.5000 0.0000 0.0000
Hg1 0.5000 0.5000 0.5000

***

[9]
The following is a PBE-GGA calculation of crystalline SrTiTl2O4 at its relaxed geometry, from Alexandria via LeMat-Bulk.

Output
E_form (uncorrected): -2.13 eV/atom

a b c (Å): 7.5006 8.7139 5.5582
angles (deg): 90.00 90.00 90.00
Fractional coordinates of all 16 atoms:
Sr1 0.0000 0.1106 0.0000
Sr2 0.5000 0.8894 0.5000
Ti1 0.0000 0.8749 0.4855
Ti2 0.5000 0.1251 0.9855
Tl1 0.2486 0.3156 0.5040
Tl2 0.2514 0.6844 0.0040
Tl3 0.7486 0.6844 0.0040
Tl4 0.7514 0.3156 0.5040
O1 0.0000 0.0847 0.5448
O2 0.0000 0.8522 0.1530
O3 0.2054 0.7917 0.6045
O4 0.2947 0.2082 0.1045
O5 0.5000 0.1478 0.6530
O6 0.5000 0.9153 0.0448
O7 0.7054 0.2082 0.1045
O8 0.7946 0.7917 0.6045

***

[10]
The following is a PBE-GGA calculation of crystalline ZnNiW at its relaxed geometry, from Alexandria via LeMat-Bulk.

Output
offset from the most stable computed form: 0.0542 eV/atom
energy of formation: 1.8 kcal/mol of atoms

a b c (Å): 6.0528 6.0528 3.6668
angles (deg): 90.00 90.00 142.31
Fractional coordinates of all 6 atoms:
Zn1 0.1768 0.8232 0.0000
Zn2 0.8232 0.1768 0.0000
Ni1 0.3358 0.6642 0.5000
Ni2 0.6642 0.3358 0.5000
W1 0.0000 0.0000 0.5000
W2 0.5000 0.5000 0.0000

***

[11]
The following is a PBE-GGA calculation of crystalline Ac2Pr12Y5 at its relaxed geometry, from Alexandria via LeMat-Bulk.

Output
energy of formation: 2.4 kcal/mol of atoms

a b c (Å): 10.9354 10.9354 6.4127
angles (deg): 99.19 99.19 66.09
Fractional coordinates of all 19 atoms:
Ac1 0.2159 0.7841 0.0000
Ac2 0.7841 0.2159 0.0000
Pr1 0.0539 0.5328 0.7858
Pr2 0.0803 0.0803 0.3617
Pr3 0.1614 0.6337 0.3916
Pr4 0.3663 0.8386 0.6084
Pr5 0.3942 0.3942 0.9760
Pr6 0.4672 0.9461 0.2142
Pr7 0.5328 0.0539 0.7858
Pr8 0.6058 0.6058 0.0240
Pr9 0.6337 0.1614 0.3916
Pr10 0.8386 0.3663 0.6084
Pr11 0.9197 0.9197 0.6383
Pr12 0.9461 0.4672 0.2142
Y1 0.1732 0.1732 0.8900
Y2 0.2813 0.2813 0.4333
Y3 0.5000 0.5000 0.5000
Y4 0.7187 0.7187 0.5667
Y5 0.8268 0.8268 0.1100

***

[12]
The following is a PBE-GGA calculation of crystalline Cs2SnTe at its relaxed geometry, from Alexandria via LeMat-Bulk.

Output
offset from the most stable computed form: 0.0323 eV/atom
E_form (uncorrected): -0.27 eV/atom

a b c (Å): 9.6308 9.6308 9.6308
angles (deg): 96.38 96.38 141.07
Fractional coordinates of all 8 atoms:
Cs1 0.3750 0.0074 0.1324
Cs2 0.7574 0.6250 0.6324
Cs3 0.8750 0.2426 0.8676
Cs4 0.9926 0.1250 0.3676
Sn1 0.2500 0.7500 0.5000
Sn2 0.5000 0.5000 0.0000
Te1 0.0000 0.0000 0.0000
Te2 0.7500 0.2500 0.5000

***

[13]
The following is a PBE-GGA calculation of crystalline PuTh4Tl2 at its relaxed geometry, from Alexandria via LeMat-Bulk.

Output
energy of formation: 1.8 kcal/mol of atoms

a b c (Å): 6.6397 6.6397 6.6397
angles (deg): 114.57 114.57 99.70
Fractional coordinates of all 7 atoms:
Pu1 0.0000 0.0000 0.0000
Th1 0.0000 0.0000 0.5000
Th2 0.0000 0.5000 0.0000
Th3 0.5000 0.0000 0.0000
Th4 0.5000 0.5000 0.5000
Tl1 0.0000 0.5000 0.5000
Tl2 0.5000 0.0000 0.5000

***

[14]
The following is a PBE-GGA calculation of crystalline Dy3Bi2Se at its relaxed geometry, from Alexandria via LeMat-Bulk.

Output
offset from the most stable computed form: 0.0000 eV/atom
E_form (uncorrected): -1.14 eV/atom

a b c (Å): 14.4087 13.7346 7.5382
angles (deg): 79.47 69.58 30.95
Fractional coordinates of all 24 atoms:
Dy1 0.0406 0.5372 0.1990
Dy2 0.1090 0.6410 0.6410
Dy3 0.1990 0.7232 0.0406
Dy4 0.2768 0.8010 0.4628
Dy5 0.3590 0.8910 0.8910
Dy6 0.4628 0.9594 0.2768
Dy7 0.5372 0.0406 0.7232
Dy8 0.6410 0.1090 0.1090
Dy9 0.7232 0.1990 0.5372
Dy10 0.8010 0.2768 0.9594
Dy11 0.8910 0.3590 0.3590
Dy12 0.9594 0.4628 0.8010
Bi1 0.1266 0.1266 0.6234
Bi2 0.2938 0.2938 0.4562
Bi3 0.3766 0.3766 0.8734
Bi4 0.4562 0.4562 0.2938
Bi5 0.5438 0.5438 0.7062
Bi6 0.6234 0.6234 0.1266
Bi7 0.7062 0.7062 0.5438
Bi8 0.8734 0.8734 0.3766
Se1 0.0416 0.0416 0.2084
Se2 0.2084 0.2084 0.0416
Se3 0.7916 0.7916 0.9584
Se4 0.9584 0.9584 0.7916

***

[15]
The following is a PBE-GGA calculation of crystalline MnCrNiAu at its relaxed geometry, from Alexandria via LeMat-Bulk.

Output
offset from the most stable computed form: 0.2068 eV/atom
energy of formation: 5.0 kcal/mol of atoms

a b c (Å): 2.6989 2.6989 8.3742
angles (deg): 100.81 100.81 66.44
Fractional coordinates of all 4 atoms:
Mn1 0.0000 0.0000 0.0000
Cr1 0.4093 0.4093 0.7868
Ni1 0.9536 0.9536 0.5578
Au1 0.4783 0.4783 0.2825

***

[16]
The following is a PBE-GGA calculation of crystalline LiGePBr at its relaxed geometry, from Alexandria via LeMat-Bulk.

Output
offset from the most stable computed form: 0.0233 eV/atom
E_form (uncorrected): -0.53 eV/atom

a b c (Å): 3.8332 3.8332 6.6158
angles (deg): 97.09 97.09 75.15
Fractional coordinates of all 4 atoms:
Li1 0.0000 0.0000 0.0000
Ge1 0.5154 0.5154 0.5553
P1 0.9084 0.9084 0.6029
Br1 0.4194 0.4194 0.1256

***

[17]
The following is a PBE-GGA calculation of crystalline HoSc2In3Te6 at its relaxed geometry, from Alexandria via LeMat-Bulk.

Output
E_form (uncorrected): -0.88 eV/atom

a b c (Å): 7.4231 7.4231 8.4074
angles (deg): 98.46 98.46 119.94
Fractional coordinates of all 12 atoms:
Ho1 0.0000 0.0000 0.0000
Sc1 0.3327 0.6673 0.0000
Sc2 0.6673 0.3327 0.0000
In1 0.1622 0.8378 0.5000
In2 0.5000 0.5000 0.5000
In3 0.8378 0.1622 0.5000
Te1 0.0713 0.4151 0.2137
Te2 0.2745 0.2745 0.7905
Te3 0.4151 0.0713 0.2137
Te4 0.5849 0.9287 0.7863
Te5 0.7255 0.7255 0.2095
Te6 0.9287 0.5849 0.7863

***

[18]
The following is a PBE-GGA calculation of crystalline Sc2ZnCd at its relaxed geometry, from Alexandria via LeMat-Bulk.

Output
energy of formation: -3.6 kcal/mol of atoms

a b c (Å): 3.5793 3.5793 6.5436
angles (deg): 90.00 90.00 90.00
Fractional coordinates of all 4 atoms:
Sc1 0.0000 0.0000 0.0000
Sc2 0.5000 0.5000 0.2787
Zn1 0.0000 0.0000 0.4967
Cd1 0.5000 0.5000 0.7457

***

[19]
The following is a PBE-GGA calculation of crystalline CoSeS2 at its relaxed geometry, from Alexandria via LeMat-Bulk.

Output
E_form (uncorrected): -0.14 eV/atom

a b c (Å): 7.4210 7.4210 7.4210
angles (deg): 26.23 26.23 26.23
Fractional coordinates of all 4 atoms:
Co1 0.0000 0.0000 0.0000
Se1 0.5000 0.5000 0.5000
S1 0.3862 0.3862 0.3862
S2 0.6138 0.6138 0.6138

***

[20]
The following is a PBE-GGA calculation of crystalline Th2Zn6Pd at its relaxed geometry, from Alexandria via LeMat-Bulk.

Output
energy of formation: -7.7 kcal/mol of atoms

a b c (Å): 5.9304 5.9304 5.6808
angles (deg): 90.00 90.00 120.00
Fractional coordinates of all 9 atoms:
Th1 0.3333 0.6667 0.1658
Th2 0.6667 0.3333 0.8342
Zn1 0.1762 0.3525 0.6665
Zn2 0.1762 0.8238 0.6665
Zn3 0.3525 0.1762 0.3335
Zn4 0.6475 0.8238 0.6665
Zn5 0.8238 0.1762 0.3335
Zn6 0.8238 0.6475 0.3335
Pd1 0.0000 0.0000 0.0000

***

[21]
The following is a PBE-GGA calculation of crystalline Ca3IrO4 at its relaxed geometry, from Alexandria via LeMat-Bulk.

Output
E_form (uncorrected): -2.03 eV/atom

a b c (Å): 4.5089 7.9170 7.2816
angles (deg): 90.00 90.00 90.00
Fractional coordinates of all 16 atoms:
Ca1 0.2500 0.0224 0.1569
Ca2 0.2500 0.4776 0.1569
Ca3 0.2500 0.7500 0.5983
Ca4 0.7500 0.2500 0.4017
Ca5 0.7500 0.5224 0.8431
Ca6 0.7500 0.9776 0.8431
Ir1 0.2500 0.2500 0.7815
Ir2 0.7500 0.7500 0.2185
O1 0.2500 0.2500 0.3324
O2 0.2500 0.5024 0.8078
O3 0.2500 0.7500 0.2741
O4 0.2500 0.9976 0.8078
O5 0.7500 0.0024 0.1922
O6 0.7500 0.2500 0.7259
O7 0.7500 0.4976 0.1922
O8 0.7500 0.7500 0.6676

***

[22]
The following is a PBE-GGA calculation of crystalline RbPdRh2 at its relaxed geometry, from Alexandria via LeMat-Bulk.

Output
offset from the most stable computed form: 0.1977 eV/atom
energy of formation: 24.0 kcal/mol of atoms

a b c (Å): 4.7365 4.7365 4.7365
angles (deg): 60.00 60.00 60.00
Fractional coordinates of all 4 atoms:
Rb1 0.0000 0.0000 0.0000
Pd1 0.5000 0.5000 0.5000
Rh1 0.2500 0.2500 0.2500
Rh2 0.7500 0.7500 0.7500

***

[23]
The following is a PBE-GGA calculation of crystalline PaAg2SnO6 at its relaxed geometry, from Alexandria via LeMat-Bulk.

Output
E_form (uncorrected): -1.68 eV/atom

a b c (Å): 5.9264 5.9264 5.9264
angles (deg): 57.71 57.71 57.71
Fractional coordinates of all 10 atoms:
Pa1 0.0000 0.0000 0.0000
Ag1 0.2513 0.2513 0.2513
Ag2 0.7502 0.7502 0.7502
Sn1 0.5000 0.5000 0.5000
O1 0.1522 0.7418 0.3596
O2 0.2574 0.6404 0.8476
O3 0.3596 0.1522 0.7418
O4 0.6404 0.8476 0.2574
O5 0.7418 0.3596 0.1522
O6 0.8476 0.2574 0.6404